1.
{
  "formula": "ScTcP",
  "functional": "PBE",
  "state": "optimized geometry",
  "density_g_cm3": 5.634,
  "dos_at_fermi_per_ev_cell": 1.9,
  "dft_energy_ev_per_atom": -7.9124,
  "relative_energy_kj_per_mol_atoms": 55.3,
  "delta_e_f_ev_per_atom": -0.5433,
  "lattice": [[0.000, 2.948, 2.948], [2.948, 0.000, 2.948], [2.948, 2.948, 0.000]],
  "species": ["Sc", "Tc", "P"],
  "frac_coords": [[0.000, 0.000, 0.000], [0.500, 0.500, 0.500], [0.750, 0.750, 0.750]]
}

2.
{
  "formula": "ScTcP",
  "functional": "PBE",
  "state": "optimized geometry",
  "density_g_cm3": 6.082,
  "dos_at_fermi_per_ev_cell": 2.2,
  "dft_energy_ev_per_atom": -8.0717,
  "relative_energy_kj_per_mol_atoms": 39.9,
  "delta_e_f_ev_per_atom": -0.7026,
  "lattice": [[-1.556, 1.556, 4.904], [1.556, -1.556, 4.904], [1.556, 1.556, -4.904]],
  "species": ["Sc", "Tc", "P"],
  "frac_coords": [[0.000, 0.000, 0.000], [0.297, 0.297, 0.000], [0.692, 0.692, 0.000]]
}

3.
{
  "formula": "ScTc4P4",
  "functional": "PBE",
  "state": "optimized geometry",
  "density_g_cm3": 6.803,
  "dos_at_fermi_per_ev_cell": 13.1,
  "dft_energy_ev_per_atom": -8.1910,
  "delta_e_f_ev_per_atom": -0.4760,
  "lattice": [[5.961, 0.000, 0.000], [0.000, 5.961, 0.000], [0.000, 0.000, 7.705]],
  "species": ["Sc", "Sc", "Tc", "Tc", "Tc", "Tc", "Tc", "Tc", "Tc", "Tc", "P", "P", "P", "P", "P", "P", "P", "P"],
  "frac_coords": [[0.250, 0.750, 0.250], [0.750, 0.250, 0.750], [0.003, 0.250, 0.121], [0.250, 0.003, 0.621], [0.250, 0.497, 0.621], [0.497, 0.250, 0.121], [0.503, 0.750, 0.879], [0.750, 0.503, 0.379], [0.750, 0.997, 0.379], [0.997, 0.750, 0.879], [0.049, 0.250, 0.424], [0.250, 0.049, 0.924], [0.250, 0.451, 0.924], [0.451, 0.250, 0.424], [0.549, 0.750, 0.576], [0.750, 0.549, 0.076], [0.750, 0.951, 0.076], [0.951, 0.750, 0.576]]
}

4.
{
  "formula": "ScTcP",
  "functional": "PBE",
  "state": "optimized geometry",
  "density_g_cm3": 5.204,
  "dos_at_fermi_per_ev_cell": 1.5,
  "dft_energy_ev_per_atom": -7.0238,
  "relative_energy_kj_per_mol_atoms": 141.0,
  "delta_e_f_ev_per_atom": 0.3453,
  "lattice": [[0.000, 3.028, 3.028], [3.028, 0.000, 3.028], [3.028, 3.028, 0.000]],
  "species": ["Sc", "Tc", "P"],
  "frac_coords": [[0.000, 0.000, 0.000], [0.250, 0.250, 0.250], [0.750, 0.750, 0.750]]
}

5.
{
  "formula": "Sc3TcP",
  "functional": "PBE",
  "state": "optimized geometry",
  "density_g_cm3": 3.708,
  "dos_at_fermi_per_ev_cell": 4.8,
  "dft_energy_ev_per_atom": -6.7746,
  "relative_energy_kj_per_mol_atoms": 15.7,
  "delta_e_f_ev_per_atom": 0.1795,
  "lattice": [[4.907, 0.000, 0.000], [0.000, 4.907, 0.000], [0.000, 0.000, 4.907]],
  "species": ["Sc", "Sc", "Sc", "Tc", "P"],
  "frac_coords": [[0.000, 0.000, 0.500], [0.000, 0.500, 0.000], [0.500, 0.000, 0.000], [0.000, 0.000, 0.000], [0.500, 0.500, 0.500]]
}

6.
{
  "formula": "ScTcP",
  "functional": "PBE",
  "state": "optimized geometry",
  "density_g_cm3": 6.359,
  "dos_at_fermi_per_ev_cell": 2.1,
  "dft_energy_ev_per_atom": -8.4854,
  "relative_energy_kj_per_mol_atoms": 0.0,
  "delta_e_f_ev_per_atom": -1.1163,
  "lattice": [[6.805, 0.000, 0.000], [-3.403, 5.893, 0.000], [0.000, 0.000, 3.398]],
  "species": ["Sc", "Sc", "Sc", "Tc", "Tc", "Tc", "P", "P", "P"],
  "frac_coords": [[0.000, 0.597, 0.000], [0.403, 0.403, 0.000], [0.597, 0.000, 0.000], [0.000, 0.251, 0.500], [0.251, 0.000, 0.500], [0.749, 0.749, 0.500], [0.000, 0.000, 0.000], [0.333, 0.667, 0.500], [0.667, 0.333, 0.500]]
}

7.
{
  "formula": "Sc4TcP",
  "functional": "PBE",
  "state": "optimized geometry",
  "density_g_cm3": 4.385,
  "dos_at_fermi_per_ev_cell": 8.4,
  "dft_energy_ev_per_atom": -6.3591,
  "relative_energy_kj_per_mol_atoms": 106.7,
  "delta_e_f_ev_per_atom": 0.4912,
  "lattice": [[0.000, 3.881, 3.881], [3.881, 0.000, 3.881], [3.881, 3.881, 0.000]],
  "species": ["Sc", "Sc", "Sc", "Sc", "Tc", "P"],
  "frac_coords": [[0.123, 0.123, 0.123], [0.123, 0.123, 0.631], [0.123, 0.631, 0.123], [0.631, 0.123, 0.123], [0.750, 0.750, 0.750], [0.500, 0.500, 0.500]]
}

8.
{
  "formula": "ScTcP3",
  "functional": "PBE",
  "state": "optimized geometry",
  "density_g_cm3": 3.970,
  "dos_at_fermi_per_ev_cell": 6.5,
  "dft_energy_ev_per_atom": -6.3751,
  "relative_energy_kj_per_mol_atoms": 0.0,
  "delta_e_f_ev_per_atom": 0.2104,
  "lattice": [[4.621, 0.000, 0.000], [0.000, 4.621, 0.000], [0.000, 0.000, 4.621]],
  "species": ["Sc", "Tc", "P", "P", "P"],
  "frac_coords": [[0.000, 0.000, 0.000], [0.500, 0.500, 0.500], [0.000, 0.500, 0.500], [0.500, 0.000, 0.500], [0.500, 0.500, 0.000]]
}